Compound: V2CdHgO6
Source: Alexandria via LeMat-Bulk
Functional: PBE with a Hubbard U
Structure: optimized geometry

Cell lengths 5.860, 8.715, 8.715 Å; angles 99.26, 78.47, 78.47 degrees
Fractional positions:
V  0.374  0.767  0.615
V  0.126  0.385  0.233
V  0.626  0.233  0.385
V  0.874  0.615  0.767
Cd  0.250  0.222  0.778
Cd  0.750  0.778  0.222
Hg  0.250  0.898  0.102
Hg  0.750  0.102  0.898
O  0.304  0.962  0.708
O  0.196  0.292  0.038
O  0.696  0.038  0.292
O  0.804  0.708  0.962
O  0.468  0.748  0.416
O  0.032  0.584  0.252
O  0.532  0.252  0.584
O  0.968  0.416  0.748
O  0.110  0.688  0.658
O  0.390  0.342  0.312
O  0.890  0.312  0.342
O  0.610  0.658  0.688

Output
Fermi-level density of states in states/eV/f.u.: 0.00
Space-group type: C2/c (15)
DFT total energy in eV per atom: -6.081